Entry 1:
## Dy3LuS (GGA-PBE)

Data for a relaxed structure of Dy3LuS.

Summary:
- Energy: -5.13 eV per atom
- Symmetry: Pm-3m, No. 221

abc: 5.2736 5.2736 5.2736
angles: 90.00 90.00 90.00
Last column: nearest neighbours and their distance in Å.
Fractional coordinates of all 5 atoms:
Dy (0.0000, 0.0000, 0.5000)  2 S 2.64
Dy (0.0000, 0.5000, 0.0000)  2 S 2.64
Dy (0.5000, 0.0000, 0.0000)  2 S 2.64
Lu (0.5000, 0.5000, 0.5000)  12 Dy 3.73
S (0.0000, 0.0000, 0.0000)  6 Dy 2.64

Entry 2:
## DyLu2S (GGA-PBE)

Data for a relaxed structure of DyLu2S.

Summary:
- Energy: -5.12 eV per atom
- Symmetry: R-3m, No. 166

abc: 10.1569 10.1569 10.1569
angles: 20.16 20.16 20.16
Last column: nearest neighbours and their distance in Å.
Fractional coordinates of all 4 atoms:
Dy (0.0000, 0.0000, 0.0000)  2 Lu 3.33, 6 Dy 3.56
Lu (0.1116, 0.1116, 0.1116)  3 S 2.63
Lu (0.8884, 0.8884, 0.8884)  3 S 2.63
S (0.5000, 0.5000, 0.5000)  6 Lu 2.63

Entry 3:
## DyLuSb (GGA-PBE)

Data for a relaxed structure of DyLuSb.

Summary:
- Energy: -5.01 eV per atom
- Symmetry: I4mm, No. 107

abc: 6.0093 6.0093 6.0093
angles: 141.95 141.95 54.90
Last column: nearest neighbours and their distance in Å.
Fractional coordinates of all 3 atoms:
Dy (0.0000, 0.0000, 0.0000)  5 Sb 3.25-3.63, 5 Lu 3.29-3.44
Lu (0.6912, 0.6912, 0.0000)  4 Sb 3.20, 5 Dy 3.29-3.44
Sb (0.3405, 0.3405, 0.0000)  4 Lu 3.20, 4 Dy 3.25

Entry 4:
## DyLuSb (GGA-PBE)

Data for a relaxed structure of DyLuSb.

Summary:
- Energy: -4.82 eV per atom
- Symmetry: P3m1, No. 156

abc: 5.0038 5.0038 3.9436
angles: 90.00 90.00 120.00
Last column: nearest neighbours and their distance in Å.
Fractional coordinates of all 3 atoms:
Dy (0.0000, 0.0000, 0.0000)  3 Sb 3.17, 3 Lu 3.43
Lu (0.3333, 0.6667, 0.5307)  3 Sb 2.99
Sb (0.6667, 0.3333, 0.3312)  3 Lu 2.99, 3 Dy 3.17

Entry 5:
## DyLu2Sc (GGA-PBE)

Data for a relaxed structure of DyLu2Sc.

Summary:
- E above lowest polymorph: 94 meV/atom
- Symmetry: Fm-3m, No. 225
- Formation energy from the elements: 0.140 eV/atom

abc: 5.4766 5.4766 5.4766
angles: 60.00 60.00 60.00
Last column: nearest neighbours and their distance in Å.
Fractional coordinates of all 4 atoms:
Dy (0.0000, 0.0000, 0.0000)  8 Lu 3.35
Lu (0.2500, 0.2500, 0.2500)  4 Sc 3.35, 4 Dy 3.35
Lu (0.7500, 0.7500, 0.7500)  4 Dy 3.35, 4 Sc 3.35
Sc (0.5000, 0.5000, 0.5000)  8 Lu 3.35

Entry 6:
## DyLu2Sc (GGA-PBE)

Data for a relaxed structure of DyLu2Sc.

Summary:
- E above lowest polymorph: 1 meV/atom
- Symmetry: P4/mmm, No. 123
- Formation energy from the elements: 0.048 eV/atom

abc: 4.8461 4.8461 4.8668
angles: 90.00 90.00 90.00
Last column: nearest neighbours and their distance in Å.
Fractional coordinates of all 4 atoms:
Dy (0.0000, 0.0000, 0.0000)  4 Sc 3.43, 8 Lu 3.43
Lu (0.0000, 0.5000, 0.5000)  4 Lu 3.43, 4 Sc 3.43, 4 Dy 3.43
Lu (0.5000, 0.0000, 0.5000)  4 Lu 3.43, 4 Sc 3.43, 4 Dy 3.43
Sc (0.5000, 0.5000, 0.0000)  4 Dy 3.43, 8 Lu 3.43

Entry 7:
## Dy2LuSc (GGA-PBE)

Data for a relaxed structure of Dy2LuSc.

Summary:
- E above lowest polymorph: 68 meV/atom
- Symmetry: Fm-3m, No. 225
- Formation energy from the elements: 0.109 eV/atom

abc: 5.4946 5.4946 5.4946
angles: 60.00 60.00 60.00
Last column: nearest neighbours and their distance in Å.
Fractional coordinates of all 4 atoms:
Dy (0.2500, 0.2500, 0.2500)  4 Sc 3.36, 4 Lu 3.36
Dy (0.7500, 0.7500, 0.7500)  4 Sc 3.36, 4 Lu 3.36
Lu (0.0000, 0.0000, 0.0000)  8 Dy 3.36
Sc (0.5000, 0.5000, 0.5000)  8 Dy 3.36

Entry 8:
## Dy2LuSc (GGA-PBE)

Data for a relaxed structure of Dy2LuSc.

Summary:
- E above lowest polymorph: 0 meV/atom
- Symmetry: P4/mmm, No. 123
- Formation energy from the elements: 0.041 eV/atom

abc: 3.4854 3.4854 9.5846
angles: 90.00 90.00 90.00
Last column: nearest neighbours and their distance in Å.
Fractional coordinates of all 4 atoms:
Dy (0.0000, 0.0000, 0.2420)  4 Sc 3.38, 4 Dy 3.49, 4 Lu 3.49
Dy (0.0000, 0.0000, 0.7580)  4 Sc 3.38, 4 Dy 3.49, 4 Lu 3.49
Lu (0.5000, 0.5000, 0.5000)  4 Lu 3.49, 8 Dy 3.49
Sc (0.5000, 0.5000, 0.0000)  8 Dy 3.38, 4 Sc 3.49

Entry 9:
## Dy2LuSc (GGA-PBE)

Data for a relaxed structure of Dy2LuSc.

Summary:
- E above lowest polymorph: 5 meV/atom
- Symmetry: R-3m, No. 166
- Formation energy from the elements: 0.046 eV/atom

abc: 11.3497 11.3497 11.3497
angles: 17.55 17.55 17.55
Last column: nearest neighbours and their distance in Å.
Fractional coordinates of all 4 atoms:
Dy (0.2478, 0.2478, 0.2478)  3 Sc 3.38, 6 Dy 3.46, 3 Lu 3.50
Dy (0.7522, 0.7522, 0.7522)  3 Sc 3.38, 6 Dy 3.46, 3 Lu 3.50
Lu (0.0000, 0.0000, 0.0000)  6 Lu 3.46, 6 Dy 3.50
Sc (0.5000, 0.5000, 0.5000)  6 Dy 3.38, 6 Sc 3.46

Entry 10:
## Dy2LuSc (GGA-PBE)

Data for a relaxed structure of Dy2LuSc.

Summary:
- E above lowest polymorph: 3 meV/atom
- Symmetry: P4/mmm, No. 123
- Formation energy from the elements: 0.044 eV/atom

abc: 4.9075 4.9075 4.8314
angles: 90.00 90.00 90.00
Last column: nearest neighbours and their distance in Å.
Fractional coordinates of all 4 atoms:
Dy (0.0000, 0.5000, 0.0000)  4 Sc 3.44, 4 Lu 3.44, 4 Dy 3.47
Dy (0.5000, 0.0000, 0.0000)  4 Sc 3.44, 4 Lu 3.44, 4 Dy 3.47
Lu (0.0000, 0.0000, 0.5000)  8 Dy 3.44, 4 Sc 3.47
Sc (0.5000, 0.5000, 0.5000)  8 Dy 3.44, 4 Lu 3.47

Entry 11:
## DyLu2Sc (GGA-PBE)

Data for a relaxed structure of DyLu2Sc.

Summary:
- E above lowest polymorph: 0 meV/atom
- Symmetry: P4/mmm, No. 123
- Formation energy from the elements: 0.046 eV/atom

abc: 3.4375 3.4375 9.6763
angles: 90.00 90.00 90.00
Last column: nearest neighbours and their distance in Å.
Fractional coordinates of all 4 atoms:
Dy (0.0000, 0.0000, 0.0000)  4 Dy 3.44, 8 Lu 3.50
Lu (0.5000, 0.5000, 0.2597)  4 Sc 3.36, 4 Lu 3.44, 4 Dy 3.50
Lu (0.5000, 0.5000, 0.7403)  4 Sc 3.36, 4 Lu 3.44, 4 Dy 3.50
Sc (0.0000, 0.0000, 0.5000)  8 Lu 3.36, 4 Sc 3.44

Entry 12:
## DyLu2Sc (GGA-PBE)

Data for a relaxed structure of DyLu2Sc.

Summary:
- E above lowest polymorph: 2 meV/atom
- Symmetry: R-3m, No. 166
- Formation energy from the elements: 0.048 eV/atom

abc: 11.3141 11.3141 11.3141
angles: 17.50 17.50 17.50
Last column: nearest neighbours and their distance in Å.
Fractional coordinates of all 4 atoms:
Dy (0.0000, 0.0000, 0.0000)  6 Dy 3.44, 6 Lu 3.50
Lu (0.2471, 0.2471, 0.2471)  3 Sc 3.34, 6 Lu 3.44, 3 Dy 3.50
Lu (0.7529, 0.7529, 0.7529)  3 Sc 3.34, 6 Lu 3.44, 3 Dy 3.50
Sc (0.5000, 0.5000, 0.5000)  6 Lu 3.34, 6 Sc 3.44

Number 1: D(E_F) 7.35 states/eV/f.u.. Number 2: D(E_F) 4.83 states/eV/f.u.. Number 3: D(E_F) 1.75 states/eV/f.u.. Number 4: D(E_F) 3.03 states/eV/f.u.. Number 5: D(E_F) 10.00 states/eV/f.u.. Number 6: D(E_F) 6.88 states/eV/f.u.. Number 7: D(E_F) 6.69 states/eV/f.u.. Number 8: D(E_F) 6.17 states/eV/f.u.. Number 9: D(E_F) 5.92 states/eV/f.u.. Number 10: D(E_F) 6.61 states/eV/f.u.. Number 11: D(E_F) 6.24 states/eV/f.u.. Number 12: D(E_F) 6.66 states/eV/f.u..